Compound: FeAgMo2O8
Source: Alexandria via LeMat-Bulk
Functional: GGA+U
Structure: relaxed

```
FeAgMo2O8
1.0
5.690 0.000 0.000
-2.845 4.928 0.000
0.000 0.000 6.453
Fe Ag Mo O
1 1 2 8
Direct
0.000 0.000 0.500
0.000 0.000 0.000
0.667 0.333 0.234
0.333 0.667 0.766
0.333 0.667 0.036
0.315 0.159 0.320
0.841 0.157 0.320
0.667 0.333 0.964
0.159 0.843 0.680
0.685 0.841 0.680
0.157 0.315 0.680
0.843 0.685 0.320
```

Properties
size of the total moment: 1.00 μB per formula unit
ρ: 4.44 Mg/m³
symmetry: P-3
DFT total energy: -6.308 eV/atom
calculated volume: 180.97 Å³ per cell